No. 1
Here is an optimized crystal structure of Mg2InHg9 from the Alexandria database. Energies are from GGA-PBE.

Values from the calculation:
The formation energy is -0.04 eV per atom. The density of states at the Fermi level comes out at 2.57 states/eV/cell. The total energy is -0.76 eV per atom.

Structure (CIF):
```
data_Mg2InHg9
_chemical_formula_sum 'Mg2 In1 Hg9'
_space_group_name_H-M_alt 'P 1'
_space_group_IT_number 1
_cell_length_a 5.083
_cell_length_b 4.488
_cell_length_c 13.182
_cell_angle_alpha 90.00
_cell_angle_beta 90.00
_cell_angle_gamma 90.00
loop_
_space_group_symop_operation_xyz
'x,y,z'
loop_
_atom_site_label
_atom_site_fract_x
_atom_site_fract_y
_atom_site_fract_z
Hg1 0.500 0.500 0.662
Hg2 0.000 0.500 0.818
Hg3 0.500 0.500 0.338
Hg4 0.500 0.000 0.828
Hg5 0.500 0.000 0.172
Hg6 0.500 0.000 0.500
Hg7 0.500 0.500 0.000
Hg8 0.000 0.500 0.182
Hg9 0.000 0.500 0.500
Mg1 0.000 0.000 0.341
Mg2 0.000 0.000 0.659
In1 0.000 0.000 0.000
```



No. 2
Here is an optimized crystal structure of MgIn3Hg3 from the Alexandria database. Energies are from GGA-PBE.

Values from the calculation:
The formation energy is 0.01 eV per atom. The density of states at the Fermi level comes out at 4.82 states/eV/cell. The value obtained for the energy above the most stable polymorph in this dataset is 14 meV per atom. The total energy is -1.53 eV per atom.

Structure (CIF):
```
data_MgIn3Hg3
_chemical_formula_sum 'Mg2 In6 Hg6'
_space_group_name_H-M_alt 'P 1'
_space_group_IT_number 1
_cell_length_a 6.581
_cell_length_b 6.581
_cell_length_c 10.319
_cell_angle_alpha 90.17
_cell_angle_beta 90.17
_cell_angle_gamma 58.71
loop_
_space_group_symop_operation_xyz
'x,y,z'
loop_
_atom_site_label
_atom_site_fract_x
_atom_site_fract_y
_atom_site_fract_z
In1 0.745 0.745 0.500
In2 0.744 0.256 0.500
In3 0.255 0.255 0.500
In4 0.259 0.741 0.000
In5 0.256 0.744 0.500
In6 0.741 0.259 0.000
Hg1 0.500 0.000 0.238
Hg2 0.000 0.500 0.238
Hg3 0.500 0.000 0.762
Hg4 0.000 0.500 0.762
Hg5 0.000 0.000 0.748
Hg6 0.000 0.000 0.252
Mg1 0.752 0.752 0.000
Mg2 0.248 0.248 0.000
```



No. 3
Here is an optimized crystal structure of MgIn2Hg from the Alexandria database. Energies are from GGA-PBE.

Values from the calculation:
The formation energy is -0.05 eV per atom. The density of states at the Fermi level comes out at 1.88 states/eV/cell. The total energy is -1.89 eV per atom.

Structure (CIF):
```
data_MgIn2Hg
_chemical_formula_sum 'Mg1 In2 Hg1'
_space_group_name_H-M_alt 'P 1'
_space_group_IT_number 1
_cell_length_a 5.947
_cell_length_b 5.947
_cell_length_c 5.947
_cell_angle_alpha 136.52
_cell_angle_beta 136.56
_cell_angle_gamma 63.14
loop_
_space_group_symop_operation_xyz
'x,y,z'
loop_
_atom_site_label
_atom_site_fract_x
_atom_site_fract_y
_atom_site_fract_z
Hg1 0.750 0.250 0.500
In1 0.000 0.000 0.000
In2 0.500 0.500 0.000
Mg1 0.250 0.750 0.500
```



No. 4
Here is an optimized crystal structure of Mg3InHg3 from the Alexandria database. Energies are from GGA-PBE.

Values from the calculation:
The formation energy is -0.14 eV per atom. The density of states at the Fermi level comes out at 5.71 states/eV/cell. The value obtained for the energy above the most stable polymorph in this dataset is 0 meV per atom. The total energy is -1.34 eV per atom.

Structure (CIF):
```
data_Mg3InHg3
_chemical_formula_sum 'Mg6 In2 Hg6'
_space_group_name_H-M_alt 'P 1'
_space_group_IT_number 1
_cell_length_a 7.093
_cell_length_b 7.093
_cell_length_c 6.418
_cell_angle_alpha 90.00
_cell_angle_beta 90.00
_cell_angle_gamma 92.33
loop_
_space_group_symop_operation_xyz
'x,y,z'
loop_
_atom_site_label
_atom_site_fract_x
_atom_site_fract_y
_atom_site_fract_z
Mg1 0.000 0.500 0.746
Mg2 0.000 0.000 0.249
Mg3 0.500 0.000 0.746
Mg4 0.000 0.000 0.751
Mg5 0.500 0.000 0.254
Mg6 0.000 0.500 0.254
Hg1 0.307 0.693 0.500
Hg2 0.249 0.249 0.500
Hg3 0.239 0.761 0.000
Hg4 0.693 0.307 0.500
Hg5 0.761 0.239 0.000
Hg6 0.751 0.751 0.500
In1 0.325 0.325 0.000
In2 0.675 0.675 0.000
```



No. 5
Here is an optimized crystal structure of Mg2InHg from the Alexandria database. Energies are from GGA-PBE.

Values from the calculation:
The formation energy is -0.14 eV per atom. The density of states at the Fermi level comes out at 1.12 states/eV/cell. The total energy is -1.70 eV per atom.

Structure (CIF):
```
data_Mg2InHg
_chemical_formula_sum 'Mg2 In1 Hg1'
_space_group_name_H-M_alt 'P 1'
_space_group_IT_number 1
_cell_length_a 7.672
_cell_length_b 5.249
_cell_length_c 3.298
_cell_angle_alpha 90.37
_cell_angle_beta 63.98
_cell_angle_gamma 126.37
loop_
_space_group_symop_operation_xyz
'x,y,z'
loop_
_atom_site_label
_atom_site_fract_x
_atom_site_fract_y
_atom_site_fract_z
Hg1 0.000 0.500 0.500
Mg1 0.500 0.000 0.500
Mg2 0.000 0.000 0.000
In1 0.500 0.500 0.000
```



No. 6
Here is an optimized crystal structure of Mg3InHg12 from the Alexandria database. Energies are from GGA-PBE.

Values from the calculation:
The formation energy is -0.05 eV per atom. The density of states at the Fermi level comes out at 4.09 states/eV/cell. The total energy is -0.74 eV per atom.

Structure (CIF):
```
data_Mg3InHg12
_chemical_formula_sum 'Mg3 In1 Hg12'
_space_group_name_H-M_alt 'P 1'
_space_group_IT_number 1
_cell_length_a 4.364
_cell_length_b 4.372
_cell_length_c 20.568
_cell_angle_alpha 95.40
_cell_angle_beta 90.00
_cell_angle_gamma 90.00
loop_
_space_group_symop_operation_xyz
'x,y,z'
loop_
_atom_site_label
_atom_site_fract_x
_atom_site_fract_y
_atom_site_fract_z
Hg1 0.000 0.578 0.861
Hg2 0.500 0.922 0.139
Hg3 0.500 0.027 0.619
Hg4 0.000 0.531 0.621
Hg5 0.500 0.078 0.861
Hg6 0.500 0.973 0.381
Hg7 0.500 0.442 0.262
Hg8 0.000 0.469 0.379
Hg9 0.500 0.500 0.500
Hg10 0.500 0.558 0.738
Hg11 0.000 0.422 0.139
Hg12 0.500 0.500 0.000
Mg1 0.000 0.059 0.742
Mg2 0.000 0.941 0.258
Mg3 0.000 0.000 0.500
In1 0.000 0.000 0.000
```



No. 7
Here is an optimized crystal structure of MgIn2Hg from the Alexandria database. Energies are from GGA-PBE.

Values from the calculation:
The formation energy is -0.06 eV per atom. The density of states at the Fermi level comes out at 4.09 states/eV/cell. The total energy is -1.90 eV per atom.

Structure (CIF):
```
data_MgIn2Hg
_chemical_formula_sum 'Mg2 In4 Hg2'
_space_group_name_H-M_alt 'P 1'
_space_group_IT_number 1
_cell_length_a 4.706
_cell_length_b 4.706
_cell_length_c 9.480
_cell_angle_alpha 104.37
_cell_angle_beta 104.37
_cell_angle_gamma 90.00
loop_
_space_group_symop_operation_xyz
'x,y,z'
loop_
_atom_site_label
_atom_site_fract_x
_atom_site_fract_y
_atom_site_fract_z
In1 0.500 0.000 0.000
In2 0.629 0.629 0.257
In3 0.000 0.500 0.000
In4 0.371 0.371 0.743
Hg1 0.144 0.144 0.287
Hg2 0.856 0.856 0.713
Mg1 0.250 0.750 0.500
Mg2 0.750 0.250 0.500
```



No. 8
Here is an optimized crystal structure of Mg2In14Hg9 from the Alexandria database. Energies are from GGA-PBE.

Values from the calculation:
The formation energy is 0.00 eV per atom. The density of states at the Fermi level comes out at 8.78 states/eV/cell. The total energy is -1.77 eV per atom.

Structure (CIF):
```
data_Mg2In14Hg9
_chemical_formula_sum 'Mg2 In14 Hg9'
_space_group_name_H-M_alt 'P 1'
_space_group_IT_number 1
_cell_length_a 8.474
_cell_length_b 10.267
_cell_length_c 14.976
_cell_angle_alpha 116.24
_cell_angle_beta 75.01
_cell_angle_gamma 144.64
loop_
_space_group_symop_operation_xyz
'x,y,z'
loop_
_atom_site_label
_atom_site_fract_x
_atom_site_fract_y
_atom_site_fract_z
In1 0.728 0.289 0.043
In2 0.313 0.368 0.858
In3 0.517 0.877 0.529
In4 0.695 0.851 0.821
In5 0.305 0.149 0.179
In6 0.203 0.864 0.836
In7 0.272 0.711 0.957
In8 0.807 0.818 0.580
In9 0.797 0.136 0.164
In10 0.147 0.479 0.629
In11 0.853 0.521 0.371
In12 0.483 0.123 0.471
In13 0.687 0.632 0.142
In14 0.193 0.182 0.420
Hg1 0.615 0.639 0.354
Hg2 0.794 0.164 0.763
Hg3 0.298 0.554 0.080
Hg4 0.702 0.446 0.920
Hg5 0.385 0.361 0.646
Hg6 0.016 0.704 0.620
Hg7 0.984 0.296 0.380
Hg8 0.000 0.000 0.000
Hg9 0.206 0.836 0.237
Mg1 0.420 0.743 0.298
Mg2 0.580 0.257 0.702
```



No. 9
Here is an optimized crystal structure of MgIn4Hg5 from the Alexandria database. Energies are from GGA-PBE.

Values from the calculation:
The formation energy is -0.03 eV per atom. The density of states at the Fermi level comes out at 3.55 states/eV/cell. The value obtained for the energy above the most stable polymorph in this dataset is 0 meV per atom. The total energy is -1.43 eV per atom.

Structure (CIF):
```
data_MgIn4Hg5
_chemical_formula_sum 'Mg1 In4 Hg5'
_space_group_name_H-M_alt 'P 1'
_space_group_IT_number 1
_cell_length_a 3.691
_cell_length_b 3.692
_cell_length_c 18.793
_cell_angle_alpha 90.00
_cell_angle_beta 90.00
_cell_angle_gamma 84.30
loop_
_space_group_symop_operation_xyz
'x,y,z'
loop_
_atom_site_label
_atom_site_fract_x
_atom_site_fract_y
_atom_site_fract_z
Hg1 0.501 0.501 0.915
Hg2 0.500 0.500 0.291
Hg3 0.499 0.499 0.085
Hg4 0.500 0.500 0.500
Hg5 0.500 0.500 0.709
In1 0.001 0.001 0.812
In2 0.999 0.999 0.188
In3 0.999 0.999 0.396
In4 0.001 0.001 0.604
Mg1 0.000 0.000 0.000
```



No. 10
Here is an optimized crystal structure of MgIn2Hg2 from the Alexandria database. Energies are from GGA-PBE.

Values from the calculation:
The formation energy is -0.06 eV per atom. The density of states at the Fermi level comes out at 2.30 states/eV/cell. The value obtained for the energy above the most stable polymorph in this dataset is 0 meV per atom. The total energy is -1.60 eV per atom.

Structure (CIF):
```
data_MgIn2Hg2
_chemical_formula_sum 'Mg1 In2 Hg2'
_space_group_name_H-M_alt 'P 1'
_space_group_IT_number 1
_cell_length_a 3.615
_cell_length_b 3.615
_cell_length_c 9.697
_cell_angle_alpha 100.74
_cell_angle_beta 100.74
_cell_angle_gamma 90.00
loop_
_space_group_symop_operation_xyz
'x,y,z'
loop_
_atom_site_label
_atom_site_fract_x
_atom_site_fract_y
_atom_site_fract_z
Hg1 0.412 0.412 0.823
Hg2 0.588 0.588 0.177
Mg1 0.000 0.000 0.000
In1 0.194 0.194 0.388
In2 0.806 0.806 0.612
```



No. 11
Here is an optimized crystal structure of MgIn2Hg2 from the Alexandria database. Energies are from GGA-PBE.

Values from the calculation:
The formation energy is -0.01 eV per atom. The density of states at the Fermi level comes out at 4.66 states/eV/cell. The value obtained for the energy above the most stable polymorph in this dataset is 56 meV per atom. The total energy is -1.54 eV per atom.

Structure (CIF):
```
data_MgIn2Hg2
_chemical_formula_sum 'Mg2 In4 Hg4'
_space_group_name_H-M_alt 'P 1'
_space_group_IT_number 1
_cell_length_a 7.597
_cell_length_b 7.597
_cell_length_c 4.512
_cell_angle_alpha 90.00
_cell_angle_beta 90.00
_cell_angle_gamma 90.00
loop_
_space_group_symop_operation_xyz
'x,y,z'
loop_
_atom_site_label
_atom_site_fract_x
_atom_site_fract_y
_atom_site_fract_z
In1 0.662 0.838 0.500
In2 0.838 0.338 0.500
In3 0.162 0.662 0.500
In4 0.338 0.162 0.500
Hg1 0.854 0.646 0.000
Hg2 0.354 0.854 0.000
Hg3 0.146 0.354 0.000
Hg4 0.646 0.146 0.000
Mg1 0.500 0.500 0.000
Mg2 0.000 0.000 0.000
```



No. 12
Here is an optimized crystal structure of Mg3InHg6 from the Alexandria database. Energies are from GGA-PBE.

Values from the calculation:
The formation energy is -0.08 eV per atom. The density of states at the Fermi level comes out at 8.95 states/eV/cell. The value obtained for the energy above the most stable polymorph in this dataset is 0 meV per atom. The total energy is -1.02 eV per atom.

Structure (CIF):
```
data_Mg3InHg6
_chemical_formula_sum 'Mg6 In2 Hg12'
_space_group_name_H-M_alt 'P 1'
_space_group_IT_number 1
_cell_length_a 4.798
_cell_length_b 8.478
_cell_length_c 11.987
_cell_angle_alpha 90.00
_cell_angle_beta 90.18
_cell_angle_gamma 90.00
loop_
_space_group_symop_operation_xyz
'x,y,z'
loop_
_atom_site_label
_atom_site_fract_x
_atom_site_fract_y
_atom_site_fract_z
Mg1 0.500 0.160 0.843
Mg2 0.500 0.500 0.000
Mg3 0.000 0.340 0.343
Mg4 0.000 0.000 0.500
Mg5 0.500 0.840 0.157
Mg6 0.000 0.660 0.657
Hg1 0.499 0.806 0.889
Hg2 0.500 0.859 0.601
Hg3 0.000 0.359 0.899
Hg4 0.500 0.141 0.399
Hg5 0.000 0.005 0.255
Hg6 0.500 0.505 0.245
Hg7 0.001 0.306 0.611
Hg8 0.999 0.694 0.389
Hg9 0.500 0.495 0.755
Hg10 0.000 0.641 0.101
Hg11 0.000 0.995 0.745
Hg12 0.501 0.194 0.111
In1 0.500 0.500 0.500
In2 0.000 0.000 0.000
```



Record-wise M_tot values, in μB per atom: 0.000, 0.000, 0.000, 0.000, 0.000, 0.000, 0.000, 0.000, 0.000, 0.000, 0.000, 0.000